a | Compound: RePtS2N
Source: Alexandria via LeMat-Bulk
Functional: GGA-PBE
Structure: relaxed

Properties
Space group: P4/mmm, No. 123

a b c (Å): 4.7363 4.7363 3.6959
angles (deg): 90.00 90.00 90.00
Closest atoms and distances in Å follow each position.
Positions (direct):
Re (0.0000, 0.0000, 0.0000)  2 N 1.85
S (0.0000, 0.5000, 0.0000)  2 Re 2.37
S (0.5000, 0.0000, 0.0000)  2 Re 2.37
Pt (0.5000, 0.5000, 0.5000)  8 S 3.00, 4 N 3.35
N (0.0000, 0.0000, 0.5000)  2 Re 1.85

---

b | Compound: RePtS2N
Source: Alexandria via LeMat-Bulk
Functional: GGA-PBE
Structure: relaxed

Properties
Space group: P4/mmm, No. 123

a b c (Å): 4.9236 4.9236 3.6307
angles (deg): 90.00 90.00 90.00
Closest atoms and distances in Å follow each position.
Positions (direct):
Re (0.5000, 0.5000, 0.5000)  8 S 3.06
S (0.0000, 0.5000, 0.0000)  2 Pt 2.46
S (0.5000, 0.0000, 0.0000)  2 Pt 2.46
Pt (0.0000, 0.0000, 0.0000)  2 N 1.82
N (0.0000, 0.0000, 0.5000)  2 Pt 1.82

---

It is a that is the most stable of them.

---

a | Compound: RePtSeN2
Source: Alexandria via LeMat-Bulk
Functional: GGA-PBE
Structure: relaxed

Properties
Space group: P4/mmm, No. 123

a b c (Å): 3.7068 3.7068 8.2014
angles (deg): 90.00 90.00 90.00
Closest atoms and distances in Å follow each position.
Positions (direct):
Re (0.5000, 0.5000, 0.5000)  4 Se 2.62
Se (0.0000, 0.0000, 0.5000)  4 Re 2.62
Pt (0.0000, 0.0000, 0.0000)  4 N 1.85
N (0.0000, 0.5000, 0.0000)  2 Pt 1.85
N (0.5000, 0.0000, 0.0000)  2 Pt 1.85

---

b | Compound: RePtSeN2
Source: Alexandria via LeMat-Bulk
Functional: GGA-PBE
Structure: relaxed

Properties
Space group: P4/mmm, No. 123

a b c (Å): 3.7770 3.7770 5.6425
angles (deg): 90.00 90.00 90.00
Closest atoms and distances in Å follow each position.
Positions (direct):
Re (0.0000, 0.0000, 0.0000)  4 N 1.89
Se (0.0000, 0.0000, 0.5000)  4 Pt 2.67, 2 Re 2.82
Pt (0.5000, 0.5000, 0.5000)  4 Se 2.67
N (0.0000, 0.5000, 0.0000)  2 Re 1.89
N (0.5000, 0.0000, 0.0000)  2 Re 1.89

---

It is b that is the most stable of them.

---

a | Compound: ReTe2PtN
Source: Alexandria via LeMat-Bulk
Functional: GGA-PBE
Structure: relaxed

Properties
Space group: P4/mmm, No. 123

a b c (Å): 5.4630 5.4630 3.6284
angles (deg): 90.00 90.00 90.00
Closest atoms and distances in Å follow each position.
Positions (direct):
Re (0.5000, 0.5000, 0.5000)  8 Te 3.28, 2 Re 3.63
Te (0.0000, 0.5000, 0.0000)  2 Pt 2.73
Te (0.5000, 0.0000, 0.0000)  2 Pt 2.73
Pt (0.0000, 0.0000, 0.0000)  2 N 1.81
N (0.0000, 0.0000, 0.5000)  2 Pt 1.81

---

b | Compound: ReTe2PtN
Source: Alexandria via LeMat-Bulk
Functional: GGA-PBE
Structure: relaxed

Properties
Space group: P4/mmm, No. 123

a b c (Å): 5.3022 5.3022 3.6953
angles (deg): 90.00 90.00 90.00
Closest atoms and distances in Å follow each position.
Positions (direct):
Re (0.0000, 0.0000, 0.0000)  2 N 1.85
Te (0.0000, 0.5000, 0.0000)  2 Re 2.65
Te (0.5000, 0.0000, 0.0000)  2 Re 2.65
Pt (0.5000, 0.5000, 0.5000)  8 Te 3.23
N (0.0000, 0.0000, 0.5000)  2 Re 1.85

---

It is b that is the most stable of them.